No. 1
A plane-wave DFT calculation with PBE was carried out for a geometry-optimized Ac2YIn3 structure.

Output
Symmetry = P4/mmm
D(E_F) = 4.01 states/eV/cell
Electronic total energy = -25.565 eV per cell

a = 3.963 Å, b = 3.963 Å, c = 12.159 Å
α = 90.00°, β = 90.00°, γ = 90.00°
Sites, in units of the cell vectors:
Ac1 0.500 0.500 0.823
Ac2 0.500 0.500 0.177
Y1 0.500 0.500 0.500
In1 0.000 0.000 0.000
In2 0.000 0.000 0.640
In3 0.000 0.000 0.360


No. 2
A plane-wave DFT calculation with PBE was carried out for a geometry-optimized Sr2Ga4SnPt3 structure.

Output
Symmetry = P-4m2
D(E_F) = 3.93 states/eV/cell
Electronic total energy = -45.127 eV per cell

a = 4.405 Å, b = 4.405 Å, c = 10.946 Å
α = 90.00°, β = 90.00°, γ = 90.00°
Sites, in units of the cell vectors:
Sr1 0.500 0.000 0.243
Sr2 0.000 0.500 0.757
Ga1 0.500 0.500 0.000
Ga2 0.000 0.000 0.000
Ga3 0.500 0.000 0.648
Ga4 0.000 0.500 0.352
Sn1 0.500 0.500 0.500
Pt1 0.000 0.000 0.500
Pt2 0.500 0.000 0.878
Pt3 0.000 0.500 0.122


No. 3
A plane-wave DFT calculation with PBE was carried out for a geometry-optimized Re2MoP structure.

Output
Symmetry = R3m
D(E_F) = 5.25 states/eV/cell
Electronic total energy = -40.855 eV per cell

a = 8.475 Å, b = 8.475 Å, c = 8.475 Å
α = 19.33°, β = 19.33°, γ = 19.33°
Sites, in units of the cell vectors:
Re1 0.994 0.994 0.994
Re2 0.749 0.749 0.749
Mo1 0.505 0.505 0.505
P1 0.252 0.252 0.252


No. 4
A plane-wave DFT calculation with PBE was carried out for a geometry-optimized TiTcSnMo structure.

Output
Symmetry = F-43m
D(E_F) = 6.08 states/eV/cell
Electronic total energy = -33.275 eV per cell

a = 4.542 Å, b = 4.542 Å, c = 4.542 Å
α = 60.00°, β = 60.00°, γ = 60.00°
Sites, in units of the cell vectors:
Mo1 0.500 0.500 0.500
Ti1 0.250 0.250 0.250
Sn1 0.750 0.750 0.750
Tc1 0.000 0.000 0.000


No. 5
A plane-wave DFT calculation with PBE was carried out for a geometry-optimized TaP2Os structure.

Output
Symmetry = R3m
Relative energy among the computed polymorphs = 0.819 eV/f.u.
D(E_F) = 1.46 states/eV/cell

a = 7.604 Å, b = 7.604 Å, c = 7.604 Å
α = 23.18°, β = 23.18°, γ = 23.18°
Sites, in units of the cell vectors:
Os1 0.739 0.739 0.739
P1 0.000 0.000 0.000
P2 0.254 0.254 0.254
Ta1 0.507 0.507 0.507


No. 6
A plane-wave DFT calculation with PBE was carried out for a geometry-optimized Sr2AuO structure.

Output
Symmetry = P4/mmm
Formation energy from raw total energies = -1.304 eV/atom
D(E_F) = 2.09 states/eV/cell

a = 3.412 Å, b = 3.412 Å, c = 7.438 Å
α = 90.00°, β = 90.00°, γ = 90.00°
Sites, in units of the cell vectors:
Sr1 0.000 0.000 0.791
Sr2 0.000 0.000 0.209
Au1 0.500 0.500 0.500
O1 0.500 0.500 0.000


No. 7
A plane-wave DFT calculation with PBE was carried out for a geometry-optimized CeSm4Tm3S8 structure.

Output
Symmetry = R-3m
Formation energy from raw total energies = -1.994 eV/atom
D(E_F) = 9.85 states/eV/cell

a = 7.882 Å, b = 7.912 Å, c = 7.883 Å
α = 119.89°, β = 120.00°, γ = 90.00°
Sites, in units of the cell vectors:
Ce1 0.000 0.500 0.000
Sm1 0.500 0.000 0.000
Sm2 0.500 0.000 0.500
Sm3 0.000 0.000 0.000
Sm4 0.000 0.000 0.500
Tm1 0.500 0.500 0.000
Tm2 0.500 0.500 0.500
Tm3 0.000 0.500 0.500
S1 0.250 0.739 0.989
S2 0.250 0.739 0.500
S3 0.255 0.266 0.511
S4 0.739 0.739 0.989
S5 0.261 0.261 0.011
S6 0.745 0.734 0.489
S7 0.750 0.261 0.500
S8 0.750 0.261 0.011


No. 8
A plane-wave DFT calculation with PBE was carried out for a geometry-optimized Na2PmAg9 structure.

Output
Symmetry = R-3m
D(E_F) = 3.31 states/eV/cell
Electronic total energy = -34.177 eV per cell

a = 5.590 Å, b = 5.590 Å, c = 10.007 Å
α = 73.78°, β = 73.78°, γ = 60.00°
Sites, in units of the cell vectors:
Na1 0.855 0.855 0.435
Na2 0.145 0.145 0.565
Pm1 0.000 0.000 0.000
Ag1 0.667 0.667 0.998
Ag2 0.333 0.333 0.002
Ag3 0.500 0.500 0.500
Ag4 0.416 0.416 0.250
Ag5 0.917 0.416 0.250
Ag6 0.416 0.917 0.250
Ag7 0.584 0.584 0.750
Ag8 0.584 0.083 0.750
Ag9 0.083 0.584 0.750


No. 9
A plane-wave DFT calculation with PBE was carried out for a geometry-optimized YAgHg structure.

Output
Symmetry = I4mm
D(E_F) = 2.57 states/eV/cell
Electronic total energy = -8.600 eV per cell

a = 3.207 Å, b = 3.207 Å, c = 8.288 Å
α = 101.16°, β = 101.16°, γ = 90.00°
Sites, in units of the cell vectors:
Y1 0.948 0.948 0.896
Hg1 0.137 0.137 0.274
Ag1 0.765 0.765 0.530


No. 10
A plane-wave DFT calculation with PBE was carried out for a geometry-optimized AcAgH6Ru structure.

Output
Symmetry = P-6m2
D(E_F) = 2.54 states/eV/cell
Electronic total energy = -38.482 eV per cell

a = 4.968 Å, b = 4.968 Å, c = 4.506 Å
α = 90.00°, β = 90.00°, γ = 60.00°
Sites, in units of the cell vectors:
Ac1 0.000 0.000 0.000
Ag1 0.667 0.667 0.500
H1 0.046 0.476 0.238
H2 0.476 0.047 0.762
H3 0.477 0.476 0.762
H4 0.047 0.477 0.762
H5 0.477 0.477 0.238
H6 0.477 0.047 0.238
Ru1 0.333 0.333 0.500


No. 11
A plane-wave DFT calculation with PBE was carried out for a geometry-optimized K2UCdSe5 structure.

Output
Symmetry = Cmc2_1
Formation energy from raw total energies = -0.961 eV/atom
D(E_F) = 7.28 states/eV/cell

a = 4.201 Å, b = 10.020 Å, c = 14.260 Å
α = 90.00°, β = 90.00°, γ = 102.10°
Sites, in units of the cell vectors:
K1 0.874 0.748 0.816
K2 0.104 0.208 0.674
K3 0.126 0.252 0.316
K4 0.896 0.792 0.174
U1 0.788 0.576 0.522
U2 0.212 0.424 0.022
Cd1 0.563 0.127 0.935
Cd2 0.437 0.873 0.435
Se1 0.343 0.687 0.003
Se2 0.705 0.409 0.893
Se3 0.500 0.000 0.779
Se4 0.282 0.564 0.648
Se5 0.926 0.852 0.553
Se6 0.657 0.313 0.503
Se7 0.295 0.591 0.393
Se8 0.500 0.000 0.279
Se9 0.718 0.436 0.148
Se10 0.074 0.148 0.053


No. 12
A plane-wave DFT calculation with PBE was carried out for a geometry-optimized Ti2Pd4Pt structure.

Output
Symmetry = I-42d
Relative energy among the computed polymorphs = 2.791 eV/f.u.
D(E_F) = 11.24 states/eV/cell

a = 6.699 Å, b = 6.699 Å, c = 6.699 Å
α = 109.63°, β = 109.15°, γ = 109.63°
Sites, in units of the cell vectors:
Ti1 0.875 0.117 0.492
Ti2 0.508 0.383 0.625
Ti3 0.375 0.883 0.758
Ti4 0.242 0.617 0.125
Pd1 0.146 0.927 0.390
Pd2 0.610 0.756 0.537
Pd3 0.969 0.573 0.713
Pd4 0.287 0.256 0.860
Pd5 0.604 0.744 0.031
Pd6 0.781 0.244 0.854
Pd7 0.463 0.073 0.219
Pd8 0.140 0.427 0.396
Pt1 0.000 0.000 0.000
Pt2 0.750 0.500 0.250


No. 13
A plane-wave DFT calculation with PBE was carried out for a geometry-optimized LaPrIrPd structure.

Output
Symmetry = Amm2
Relative energy among the computed polymorphs = 0.000 eV/f.u.
D(E_F) = 2.24 states/eV/cell

a = 3.982 Å, b = 4.454 Å, c = 5.895 Å
α = 90.00°, β = 109.74°, γ = 90.00°
Sites, in units of the cell vectors:
La1 0.864 0.500 0.729
Pr1 0.140 0.000 0.279
Ir1 0.411 0.000 0.822
Pd1 0.585 0.500 0.170